Compound: MgHgTe2Cl
Source: the Alexandria database
Functional: SCAN
Structure: PBEsol geometry

```
MgHgTe2Cl
1.0
-3.460 3.641 1.658
-3.939 -2.717 -2.253
-0.742 -2.874 4.764
Cl Hg Te Mg
1 1 2 1
direct
0.000 0.000 0.000
0.000 0.000 0.500
0.500 0.000 0.000
0.000 0.500 0.000
0.500 0.500 0.500
```

Computed properties:
Size of the total moment, μB/atom: 0.00
Raw total energy, eV per atom: -30.7402
Uncorrected formation energy, eV/atom: 0.3837
DOS at the Fermi energy, states/eV/cell: 1.787
Space-group type: P4/mmm, No. 123